{
  "formula": "VGaOs",
  "functional": "GGA-PBE",
  "state": "optimized geometry",
  "lattice_angstrom": [[4.4888, 0.0000, 0.0000], [2.1306, 4.1501, 0.0000], [1.7950, 1.2614, 4.5441]],
  "species": ["V", "V", "Ga", "Ga", "Os", "Os"],
  "frac_coords": [[0.1282, 0.4181, 0.2518], [0.8718, 0.5819, 0.7482], [0.2157, 0.9184, 0.7500], [0.7843, 0.0816, 0.2500], [0.4422, 0.7389, 0.2466], [0.5578, 0.2611, 0.7534]],
  "dft_energy_ev_per_atom": -7.95,
  "formation_enthalpy_0k_ev_per_atom": -0.16,
  "total_magnetization_mub_per_cell": 0.000
}

{
  "formula": "VGaOs",
  "functional": "GGA-PBE",
  "state": "optimized geometry",
  "lattice_angstrom": [[4.7619, 0.0000, 0.0000], [0.0000, 2.8332, 0.0000], [-1.6967, 0.0000, 6.3595]],
  "species": ["V", "V", "Ga", "Ga", "Os", "Os"],
  "frac_coords": [[0.0000, 0.0000, 0.0000], [0.2596, 0.0000, 0.7067], [0.4523, 0.0000, 0.3528], [0.9684, 0.5000, 0.3537], [0.5119, 0.5000, 0.0227], [0.7476, 0.5000, 0.6817]],
  "dft_energy_ev_per_atom": -7.98,
  "formation_enthalpy_0k_ev_per_atom": -0.19,
  "total_magnetization_mub_per_cell": 0.525
}

{
  "formula": "VGaOs",
  "functional": "GGA-PBE",
  "state": "optimized geometry",
  "lattice_angstrom": [[5.7842, 0.0000, 0.0000], [0.0000, 2.8781, 0.0000], [0.0000, 0.0000, 6.2133]],
  "species": ["V", "V", "Ga", "Ga", "Os", "Os"],
  "frac_coords": [[0.0000, 0.0000, 0.0000], [0.5000, 0.0000, 0.0000], [0.0000, 0.0000, 0.5000], [0.5000, 0.0000, 0.5000], [0.2500, 0.5000, 0.2415], [0.7500, 0.5000, 0.7585]],
  "dft_energy_ev_per_atom": -7.61,
  "formation_enthalpy_0k_ev_per_atom": 0.18,
  "total_magnetization_mub_per_cell": 0.387
}

{
  "formula": "VGaOs2",
  "functional": "GGA-PBE",
  "state": "optimized geometry",
  "lattice_angstrom": [[-1.3242, 2.1931, 5.5288], [1.3242, -2.1931, 5.5288], [1.3242, 2.1931, -5.5288]],
  "species": ["V", "Ga", "Os", "Os"],
  "frac_coords": [[0.0000, 0.0000, 0.0000], [0.5000, 0.5000, 0.0000], [0.2151, 0.2151, 0.0000], [0.7849, 0.7849, 0.0000]],
  "dft_energy_ev_per_atom": -8.22,
  "formation_enthalpy_0k_ev_per_atom": 0.43,
  "total_magnetization_mub_per_cell": 0.000
}

{
  "formula": "VGaOs",
  "functional": "GGA-PBE",
  "state": "optimized geometry",
  "lattice_angstrom": [[-1.5270, 1.5270, 4.5040], [1.5270, -1.5270, 4.5040], [1.5270, 1.5270, -4.5040]],
  "species": ["V", "Ga", "Os"],
  "frac_coords": [[0.0000, 0.0000, 0.0000], [0.6718, 0.6718, 0.0000], [0.3479, 0.3479, 0.0000]],
  "dft_energy_ev_per_atom": -8.01,
  "formation_enthalpy_0k_ev_per_atom": -0.22,
  "total_magnetization_mub_per_cell": 0.000
}

{
  "formula": "VGaOs2",
  "functional": "GGA-PBE",
  "state": "optimized geometry",
  "lattice_angstrom": [[-3.5596, 3.5596, 2.5521], [3.5596, -3.5596, 2.5521], [3.5596, 3.5596, -2.5521]],
  "species": ["V", "V", "Ga", "Ga", "Os", "Os", "Os", "Os"],
  "frac_coords": [[0.0000, 0.0000, 0.0000], [0.7500, 0.2500, 0.5000], [0.2500, 0.7500, 0.5000], [0.5000, 0.5000, 0.0000], [0.0757, 0.1250, 0.4507], [0.3750, 0.9243, 0.0493], [0.6743, 0.6250, 0.5493], [0.8750, 0.3257, 0.9507]],
  "dft_energy_ev_per_atom": -8.07,
  "formation_enthalpy_0k_ev_per_atom": 0.58,
  "total_magnetization_mub_per_cell": 0.000
}

What is the formula in the fifth record?
VGaOs